VASP calculation (PBE with a Hubbard U) on a geometry-optimized CrReNO2 structure.

Volume = 53.4 Å³ per cell
ρ = 8.83 g/cm3
Spin magnetization = 2.87 μB/f.u.
Uncorrected energy = -7.01 eV per atom

Geometry as CIF:
```
data_CrReNO2
_cell_length_a 3.6855
_cell_length_b 3.6855
_cell_length_c 3.9332
_cell_angle_alpha 90.00
_cell_angle_beta 90.00
_cell_angle_gamma 90.00
_space_group_name_H-M_alt 'P 4/m m m'
_space_group_IT_number 123
_space_group_name_Hall '-P 4 2'
loop_
_atom_site_label
_atom_site_fract_x
_atom_site_fract_y
_atom_site_fract_z
_atom_site_occupancy
Cr1 0.0000 0.0000 0.0000 1
Re1 0.5000 0.5000 0.5000 1
N1 0.0000 0.0000 0.5000 1
O1 0.0000 0.5000 0.0000 1
```